1.
{
  "formula": "DyTcMo",
  "functional": "PBE-GGA",
  "state": "optimized geometry",
  "spacegroup": "I4mm, No. 107",
  "n_ef_per_ev_atom": 0.6606,
  "final_energy_ev_per_atom": -8.55,
  "cell": [[3.224, 0.000, 0.000], [0.000, 3.224, 0.000], [-1.612, -1.612, 5.429]],
  "species": ["Mo", "Tc", "Dy"],
  "frac_coords": [[0.311, 0.311, 0.622], [0.687, 0.687, 0.374], [0.002, 0.002, 0.004]]
}

=====

2.
{
  "formula": "DyTc4Mo",
  "functional": "PBE-GGA",
  "state": "optimized geometry",
  "spacegroup": "F-43m, No. 216",
  "n_ef_per_ev_atom": 1.4937,
  "final_energy_ev_per_atom": -9.38,
  "cell": [[5.242, 0.000, 0.000], [2.621, 4.539, 0.000], [2.621, 1.513, 4.280]],
  "species": ["Mo", "Tc", "Tc", "Tc", "Tc", "Dy"],
  "frac_coords": [[0.000, 0.000, 0.000], [0.625, 0.625, 0.125], [0.625, 0.125, 0.625], [0.625, 0.625, 0.625], [0.125, 0.625, 0.625], [0.250, 0.250, 0.250]]
}

=====

no.,energy of formation (kJ/mol of formula units)
1,14
2,61